This record from the Alexandria database describes Co2GeBiO8 after structural relaxation. The functional is PBE+U.

Properties
electronic total energy = -5.604 eV/atom

a b c (Å): 5.653 5.653 6.118
angles (deg): 90.00 90.00 120.00
Positions (direct):
Co (0.333, 0.667, 0.262)
Co (0.667, 0.333, 0.738)
Ge (0.000, 0.000, 0.000)
Bi (0.000, 0.000, 0.500)
O (0.147, 0.303, 0.198)
O (0.155, 0.853, 0.198)
O (0.303, 0.155, 0.802)
O (0.333, 0.667, 0.537)
O (0.667, 0.333, 0.463)
O (0.697, 0.845, 0.198)
O (0.845, 0.147, 0.802)
O (0.853, 0.697, 0.802)